Record 1
Entry from Alexandria: an optimized crystal structure of ZrMn2Tl3Se6 (GGA-PBE).

Structure (CIF):
```
data_ZrMn2Tl3Se6
_chemical_formula_sum 'Zr1 Mn2 Tl3 Se6'
_cell_length_a 6.766
_cell_length_b 6.766
_cell_length_c 8.011
_cell_angle_alpha 98.12
_cell_angle_beta 98.12
_cell_angle_gamma 119.87
_space_group_name_H-M_alt 'P 1'
_space_group_IT_number 1
loop_
_space_group_symop_operation_xyz
'x,y,z'
loop_
_atom_site_label
_atom_site_type_symbol
_atom_site_fract_x
_atom_site_fract_y
_atom_site_fract_z
Zr1 Zr 0.000 0.000 0.000
Mn1 Mn 0.332 0.668 0.000
Mn2 Mn 0.668 0.332 0.000
Tl1 Tl 0.163 0.837 0.500
Tl2 Tl 0.500 0.500 0.500
Tl3 Tl 0.837 0.163 0.500
Se1 Se 0.063 0.403 0.192
Se2 Se 0.278 0.278 0.811
Se3 Se 0.403 0.063 0.192
Se4 Se 0.597 0.937 0.808
Se5 Se 0.722 0.722 0.189
Se6 Se 0.937 0.597 0.808
```

Calculated values
E_form (uncorrected), eV per atom: -0.6368
Space-group type: C2/m (12)


Record 2
Entry from Alexandria: an optimized crystal structure of Zr2MnTl2Se6 (GGA-PBE).

Structure (CIF):
```
data_Zr2MnTl2Se6
_chemical_formula_sum 'Zr2 Mn1 Tl2 Se6'
_cell_length_a 6.726
_cell_length_b 6.726
_cell_length_c 8.196
_cell_angle_alpha 97.92
_cell_angle_beta 97.92
_cell_angle_gamma 120.14
_space_group_name_H-M_alt 'P 1'
_space_group_IT_number 1
loop_
_space_group_symop_operation_xyz
'x,y,z'
loop_
_atom_site_label
_atom_site_type_symbol
_atom_site_fract_x
_atom_site_fract_y
_atom_site_fract_z
Zr1 Zr 0.168 0.832 0.000
Zr2 Zr 0.832 0.168 0.000
Mn1 Mn 0.500 0.500 0.000
Tl1 Tl 0.333 0.667 0.500
Tl2 Tl 0.667 0.333 0.500
Se1 Se 0.100 0.433 0.804
Se2 Se 0.233 0.233 0.194
Se3 Se 0.433 0.100 0.804
Se4 Se 0.567 0.900 0.196
Se5 Se 0.767 0.767 0.806
Se6 Se 0.900 0.567 0.196
```

Calculated values
E_form (uncorrected), eV per atom: -0.9301
Space-group type: C2/m (12)


Record 3
Entry from Alexandria: an optimized crystal structure of ZrMnTlSe4 (GGA-PBE).

Structure (CIF):
```
data_ZrMnTlSe4
_chemical_formula_sum 'Zr2 Mn2 Tl2 Se8'
_cell_length_a 6.581
_cell_length_b 6.362
_cell_length_c 9.359
_cell_angle_alpha 90.00
_cell_angle_beta 110.32
_cell_angle_gamma 90.00
_space_group_name_H-M_alt 'P 1'
_space_group_IT_number 1
loop_
_space_group_symop_operation_xyz
'x,y,z'
loop_
_atom_site_label
_atom_site_type_symbol
_atom_site_fract_x
_atom_site_fract_y
_atom_site_fract_z
Zr1 Zr 0.240 0.250 0.054
Zr2 Zr 0.760 0.750 0.946
Mn1 Mn 0.239 0.750 0.835
Mn2 Mn 0.761 0.250 0.165
Tl1 Tl 0.265 0.250 0.548
Tl2 Tl 0.735 0.750 0.452
Se1 Se 0.032 0.512 0.195
Se2 Se 0.032 0.988 0.195
Se3 Se 0.438 0.750 0.665
Se4 Se 0.465 0.750 0.095
Se5 Se 0.535 0.250 0.905
Se6 Se 0.562 0.250 0.335
Se7 Se 0.968 0.012 0.805
Se8 Se 0.968 0.488 0.805
```

Calculated values
E_form (uncorrected), eV per atom: -0.7184
Space-group type: P2_1/m (11)


Record 4
Entry from Alexandria: an optimized crystal structure of Tm3MnSe6 (GGA-PBE).

Structure (CIF):
```
data_Tm3MnSe6
_chemical_formula_sum 'Tm3 Mn1 Se6'
_cell_length_a 7.446
_cell_length_b 7.446
_cell_length_c 7.446
_cell_angle_alpha 55.65
_cell_angle_beta 55.65
_cell_angle_gamma 55.65
_space_group_name_H-M_alt 'P 1'
_space_group_IT_number 1
loop_
_space_group_symop_operation_xyz
'x,y,z'
loop_
_atom_site_label
_atom_site_type_symbol
_atom_site_fract_x
_atom_site_fract_y
_atom_site_fract_z
Tm1 Tm 0.000 0.000 0.000
Tm2 Tm 0.193 0.193 0.193
Tm3 Tm 0.695 0.695 0.695
Mn1 Mn 0.503 0.503 0.503
Se1 Se 0.124 0.400 0.765
Se2 Se 0.288 0.883 0.602
Se3 Se 0.400 0.765 0.124
Se4 Se 0.602 0.288 0.883
Se5 Se 0.765 0.124 0.400
Se6 Se 0.883 0.602 0.288
```

Calculated values
E_form (uncorrected), eV per atom: -1.4131
Space-group type: R3 (146)


Record 5
Entry from Alexandria: an optimized crystal structure of Tm2MnSe (GGA-PBE).

Structure (CIF):
```
data_Tm2MnSe
_chemical_formula_sum 'Tm6 Mn3 Se3'
_cell_length_a 3.597
_cell_length_b 3.597
_cell_length_c 27.871
_cell_angle_alpha 90.00
_cell_angle_beta 90.00
_cell_angle_gamma 120.00
_space_group_name_H-M_alt 'P 1'
_space_group_IT_number 1
loop_
_space_group_symop_operation_xyz
'x,y,z'
loop_
_atom_site_label
_atom_site_type_symbol
_atom_site_fract_x
_atom_site_fract_y
_atom_site_fract_z
Tm1 Tm 0.000 0.000 0.099
Tm2 Tm 0.000 0.000 0.901
Tm3 Tm 0.333 0.667 0.567
Tm4 Tm 0.333 0.667 0.766
Tm5 Tm 0.667 0.333 0.234
Tm6 Tm 0.667 0.333 0.433
Mn1 Mn 0.000 0.000 0.000
Mn2 Mn 0.333 0.667 0.667
Mn3 Mn 0.667 0.333 0.333
Se1 Se 0.000 0.000 0.500
Se2 Se 0.333 0.667 0.167
Se3 Se 0.667 0.333 0.833
```

Calculated values
E_form (uncorrected), eV per atom: -0.1361
Space-group type: R-3m (166)


Record 6
Entry from Alexandria: an optimized crystal structure of TmMn4Se8 (GGA-PBE).

Structure (CIF):
```
data_TmMn4Se8
_chemical_formula_sum 'Tm1 Mn4 Se8'
_cell_length_a 7.838
_cell_length_b 7.838
_cell_length_c 7.838
_cell_angle_alpha 56.49
_cell_angle_beta 56.49
_cell_angle_gamma 56.49
_space_group_name_H-M_alt 'P 1'
_space_group_IT_number 1
loop_
_space_group_symop_operation_xyz
'x,y,z'
loop_
_atom_site_label
_atom_site_type_symbol
_atom_site_fract_x
_atom_site_fract_y
_atom_site_fract_z
Tm1 Tm 0.000 0.000 0.000
Mn1 Mn 0.000 0.000 0.500
Mn2 Mn 0.000 0.500 0.000
Mn3 Mn 0.500 0.000 0.000
Mn4 Mn 0.500 0.500 0.500
Se1 Se 0.234 0.743 0.743
Se2 Se 0.235 0.235 0.235
Se3 Se 0.257 0.257 0.766
Se4 Se 0.257 0.766 0.257
Se5 Se 0.743 0.234 0.743
Se6 Se 0.743 0.743 0.234
Se7 Se 0.765 0.765 0.765
Se8 Se 0.766 0.257 0.257
```

Calculated values
E_form (uncorrected), eV per atom: -0.6692
Space-group type: R-3m (166)


Record 7
Entry from Alexandria: an optimized crystal structure of TmMnSe2 (GGA-PBE).

Structure (CIF):
```
data_TmMnSe2
_chemical_formula_sum 'Tm3 Mn3 Se6'
_cell_length_a 3.917
_cell_length_b 3.917
_cell_length_c 16.678
_cell_angle_alpha 90.00
_cell_angle_beta 90.00
_cell_angle_gamma 120.00
_space_group_name_H-M_alt 'P 1'
_space_group_IT_number 1
loop_
_space_group_symop_operation_xyz
'x,y,z'
loop_
_atom_site_label
_atom_site_type_symbol
_atom_site_fract_x
_atom_site_fract_y
_atom_site_fract_z
Tm1 Tm 0.000 0.000 0.000
Tm2 Tm 0.333 0.667 0.667
Tm3 Tm 0.667 0.333 0.333
Mn1 Mn 0.000 0.000 0.500
Mn2 Mn 0.333 0.667 0.167
Mn3 Mn 0.667 0.333 0.833
Se1 Se 0.000 0.000 0.233
Se2 Se 0.000 0.000 0.767
Se3 Se 0.333 0.667 0.434
Se4 Se 0.333 0.667 0.900
Se5 Se 0.667 0.333 0.100
Se6 Se 0.667 0.333 0.566
```

Calculated values
E_form (uncorrected), eV per atom: -0.7402
Space-group type: R-3m (166)


Record 8
Entry from Alexandria: an optimized crystal structure of Y2TmMnSe6 (GGA-PBE).

Structure (CIF):
```
data_Y2TmMnSe6
_chemical_formula_sum 'Y2 Tm1 Mn1 Se6'
_cell_length_a 7.012
_cell_length_b 7.018
_cell_length_c 7.466
_cell_angle_alpha 90.07
_cell_angle_beta 117.95
_cell_angle_gamma 119.94
_space_group_name_H-M_alt 'P 1'
_space_group_IT_number 1
loop_
_space_group_symop_operation_xyz
'x,y,z'
loop_
_atom_site_label
_atom_site_type_symbol
_atom_site_fract_x
_atom_site_fract_y
_atom_site_fract_z
Y1 Y 0.000 0.000 0.000
Y2 Y 0.003 0.502 0.505
Tm1 Tm 0.394 0.697 0.091
Mn1 Mn 0.389 0.194 0.583
Se1 Se 0.234 0.412 0.321
Se2 Se 0.238 0.304 0.805
Se3 Se 0.500 0.087 0.321
Se4 Se 0.501 0.934 0.805
Se5 Se 0.871 0.567 0.805
Se6 Se 0.908 0.821 0.321
```

Calculated values
E_form (uncorrected), eV per atom: -1.4236
Space-group type: P1 (1)


> Which value of E_form (uncorrected) does entry 1 give?

-0.6368 eV per atom